First-principles (GGA-PBE) data for a relaxed Pm4DyIn crystal, as listed in Alexandria via LeMat-Bulk.

Cell lengths 5.397, 6.661, 11.140 Å; angles 90.00, 104.02, 90.00 degrees
Fractional positions:
Dy  0.636  0.934  0.273
Dy  0.364  0.434  0.727
Pm  0.271  0.942  0.541
Pm  0.564  0.453  0.129
Pm  0.978  0.311  0.957
Pm  0.436  0.953  0.871
Pm  0.729  0.442  0.459
Pm  0.158  0.624  0.316
Pm  0.022  0.811  0.043
Pm  0.842  0.124  0.684
In  0.131  0.169  0.262
In  0.869  0.669  0.738

Output
**E_tot**: -4.43 eV/atom
**Energy above the lowest structure with this stoichiometry**: 3.9 kJ per mole of atoms